[1]
Material: AlAs3Pt
Method: DFT, PBE-GGA
State: optimized geometry

Results
The space group is Pm-3m (221). The calculation puts the total magnetization at 0.00 μB/f.u. The total energy comes out at -3.97 eV/atom.

```
AlAs3Pt
1.0
4.720 0.000 0.000
0.000 4.720 0.000
0.000 0.000 4.720
Al As Pt
1 3 1
direct
0.000 0.000 0.000
0.000 0.000 0.500
0.000 0.500 0.000
0.500 0.000 0.000
0.500 0.500 0.500
```

[2]
Material: PaHgGe
Method: DFT, PBE-GGA
State: optimized geometry

Results
The space group is P-6m2 (187). The calculation puts the total magnetization at 0.00 μB/f.u. The total energy comes out at -4.76 eV/atom.

```
PaHgGe
1.0
3.225 0.000 0.000
-1.612 2.793 0.000
0.000 0.000 15.183
Pa Hg Ge
2 2 2
direct
0.000 0.000 0.000
0.333 0.667 0.500
0.333 0.667 0.179
0.333 0.667 0.821
0.000 0.000 0.336
0.000 0.000 0.664
```

[3]
Material: MoBr5
Method: DFT, PBE-GGA
State: optimized geometry

Results
The space group is P-62m (189). The calculation puts the total magnetization at 0.28 μB/f.u. The calculation puts the uncorrected formation energy at -115 meV per atom.

```
MoBr5
1.0
8.700 0.000 0.000
-4.350 7.534 0.000
0.000 0.000 3.085
Mo Br
1 5
direct
0.000 0.000 0.000
0.000 0.769 0.500
0.231 0.231 0.500
0.333 0.667 0.000
0.667 0.333 0.000
0.769 0.000 0.500
```

Among the records above, which one has the highest total magnetization? MoBr5

total magnetization of number 3 (MoBr5)? 0.28 μB/f.u.

Among the records above, which one has the highest total magnetization? MoBr5